Here is PaIrPd2 after structural relaxation from Alexandria. Energies are from PBE-GGA.

Values from the calculation:
Density of states at the Fermi level, states/eV per atom: 0.138
E above lowest polymorph, meV/atom: 0
Formation energy from the elements, eV per atom: -0.83

Unit cell a=4.2941 b=4.0422 c=4.0422 alpha=90.00 beta=90.00 gamma=90.00
Closest atoms and distances in Å follow each position.
Atoms (fractional coordinates):
Pa 0.5000 0.0000 0.0000  4 Ir 2.86, 8 Pd 2.95
Pd 0.0000 0.0000 0.5000  4 Pd 2.86, 4 Pa 2.95, 4 Ir 2.95
Pd 0.0000 0.5000 0.0000  4 Pd 2.86, 4 Pa 2.95, 4 Ir 2.95
Ir 0.5000 0.5000 0.5000  4 Pa 2.86, 8 Pd 2.95

Here is HgBi3Pd2 after structural relaxation from Alexandria. Energies are from PBE-GGA.

Values from the calculation:
Density of states at the Fermi level, states/eV per atom: 0.357
Formation energy from the elements, eV per atom: -0.14

Unit cell a=4.4110 b=7.5453 c=8.8329 alpha=90.00 beta=90.00 gamma=90.00
Closest atoms and distances in Å follow each position.
Atoms (fractional coordinates):
Hg 0.5000 0.5142 0.5911  3 Pd 2.98-3.01
Hg 0.5000 0.0142 0.4089  3 Pd 2.98-3.01
Bi 0.0000 0.4918 0.8994  3 Pd 2.87-2.97
Bi 0.0000 0.9918 0.1006  3 Pd 2.87-2.97
Bi 0.5000 0.6332 0.1738  4 Pd 2.85-2.90
Bi 0.5000 0.1332 0.8262  4 Pd 2.85-2.90
Bi 0.0000 0.3585 0.3395  4 Pd 2.84-2.96
Bi 0.0000 0.8585 0.6605  4 Pd 2.84-2.96
Pd 0.5000 0.7512 0.8614  6 Bi 2.90-2.97, 1 Hg 2.98
Pd 0.5000 0.2512 0.1386  6 Bi 2.90-2.97, 1 Hg 2.98
Pd 0.0000 0.2511 0.6480  5 Bi 2.84-2.96, 2 Hg 3.01
Pd 0.0000 0.7511 0.3520  5 Bi 2.84-2.96, 2 Hg 3.01

Here is Gd2LuIn after structural relaxation from Alexandria. Energies are from PBE-GGA.

Values from the calculation:
Density of states at the Fermi level, states/eV per atom: 1.049
E above lowest polymorph, meV/atom: 378
Formation energy from the elements, eV per atom: 0.09

Unit cell a=3.4850 b=3.4850 c=12.2025 alpha=81.79 beta=81.79 gamma=60.00
Closest atoms and distances in Å follow each position.
Atoms (fractional coordinates):
Gd 0.0890 0.0890 0.7329  1 In 3.21, 3 Lu 3.45, 6 Gd 3.49
Gd 0.9110 0.9110 0.2671  1 In 3.21, 3 Lu 3.45, 6 Gd 3.49
Lu 0.5000 0.5000 0.5000  6 Gd 3.45, 6 Lu 3.49
In 0.0000 0.0000 0.0000  2 Gd 3.21, 6 In 3.49

Here is Tb12YTl3 after structural relaxation from Alexandria. Energies are from PBE-GGA.

Values from the calculation:
Density of states at the Fermi level, states/eV per atom: 1.348
Formation energy from the elements, eV per atom: -0.13

Unit cell a=4.8790 b=4.8790 c=19.9596 alpha=90.00 beta=90.00 gamma=90.00
Closest atoms and distances in Å follow each position.
Atoms (fractional coordinates):
Tb 0.5000 0.5000 0.0000  4 Y 3.45, 8 Tb 3.57
Tb 0.5000 0.5000 0.2546  4 Tl 3.45, 8 Tb 3.45-3.48
Tb 0.5000 0.5000 0.5000  4 Tl 3.45, 8 Tb 3.46
Tb 0.5000 0.5000 0.7454  4 Tl 3.45, 8 Tb 3.45-3.48
Tb 0.5000 0.0000 0.1304  8 Tb 3.45-3.57, 2 Tl 3.51, 2 Y 3.57
Tb 0.5000 0.0000 0.3770  4 Tl 3.42-3.46, 8 Tb 3.45-3.46
Tb 0.5000 0.0000 0.6230  4 Tl 3.42-3.46, 8 Tb 3.45-3.46
Tb 0.5000 0.0000 0.8696  8 Tb 3.45-3.57, 2 Tl 3.51, 2 Y 3.57
Tb 0.0000 0.5000 0.1304  8 Tb 3.45-3.57, 2 Tl 3.51, 2 Y 3.57
Tb 0.0000 0.5000 0.3770  4 Tl 3.42-3.46, 8 Tb 3.45-3.46
Tb 0.0000 0.5000 0.6230  4 Tl 3.42-3.46, 8 Tb 3.45-3.46
Tb 0.0000 0.5000 0.8696  8 Tb 3.45-3.57, 2 Tl 3.51, 2 Y 3.57
Y 0.0000 0.0000 0.0000  12 Tb 3.45-3.57
Tl 0.0000 0.0000 0.2569  12 Tb 3.42-3.51
Tl 0.0000 0.0000 0.5000  12 Tb 3.45-3.46
Tl 0.0000 0.0000 0.7431  12 Tb 3.42-3.51